A geometry-optimized InRe2Te structure. Source: the Alexandria database, functional PBE.

Crystal system   monoclinic
Relative energy among the computed polymorphs   10.61 kcal/mol of atoms
SG   C2/m, No. 12

extended XYZ file:
```
4
Lattice="4.4401 -1.5352 0.0000 4.4401 1.5352 0.0000 -1.0869 0.0000 5.4315" Properties=species:S:1:pos:R:3 pbc="T T T"
In 0.0000 0.0000 0.0000
Re 1.4792 0.0000 3.9016
Re 6.3141 0.0000 1.5298
Te 3.8966 0.0000 2.7157
```


A geometry-optimized InReTe4 structure. Source: the Alexandria database, functional PBE.

Total DFT energy (no corrections)   -20.83 eV per formula unit
Crystal system   cubic
SG   F-43m, No. 216

extended XYZ file:
```
6
Lattice="0.0000 4.5306 4.5306 4.5306 0.0000 4.5306 4.5306 4.5306 0.0000" Properties=species:S:1:pos:R:3 pbc="T T T"
In 0.0000 0.0000 0.0000
Re 6.7959 6.7959 6.7959
Te 3.4031 3.4031 3.4031
Te 5.6580 5.6580 3.4031
Te 5.6580 3.4031 5.6580
Te 3.4031 5.6580 5.6580
```


A geometry-optimized In4ReTe structure. Source: the Alexandria database, functional PBE.

Total DFT energy (no corrections)   -21.04 eV per formula unit
Crystal system   cubic
SG   F-43m, No. 216

extended XYZ file:
```
6
Lattice="0.0000 4.2410 4.2410 4.2410 0.0000 4.2410 4.2410 4.2410 0.0000" Properties=species:S:1:pos:R:3 pbc="T T T"
In 1.0539 1.0539 1.0539
In 3.1870 3.1870 1.0539
In 3.1870 1.0539 3.1870
In 1.0539 3.1870 3.1870
Re 6.3614 6.3614 6.3614
Te 4.2410 4.2410 4.2410
```


A geometry-optimized InRe2Te structure. Source: the Alexandria database, functional PBE.

Crystal system   tetragonal
Relative energy among the computed polymorphs   0.00 kcal/mol of atoms
SG   P4mm, No. 99

extended XYZ file:
```
4
Lattice="3.0439 0.0000 0.0000 0.0000 3.0439 0.0000 0.0000 0.0000 8.5480" Properties=species:S:1:pos:R:3 pbc="T T T"
In 0.0000 0.0000 0.0000
Re 0.0000 0.0000 3.5658
Re 1.5219 1.5219 2.0398
Te 1.5219 1.5219 5.6191
```


A geometry-optimized InRe2Te structure. Source: the Alexandria database, functional PBE.

Crystal system   cubic
Relative energy among the computed polymorphs   10.57 kcal/mol of atoms
SG   Fm-3m, No. 225

extended XYZ file:
```
4
Lattice="0.0000 3.2737 3.2737 3.2737 0.0000 3.2737 3.2737 3.2737 0.0000" Properties=species:S:1:pos:R:3 pbc="T T T"
In 0.0000 0.0000 0.0000
Re 1.6369 1.6369 1.6369
Re 4.9106 4.9106 4.9106
Te 3.2737 3.2737 3.2737
```


A geometry-optimized InRe2Te structure. Source: the Alexandria database, functional PBE.

Crystal system   tetragonal
Relative energy among the computed polymorphs   14.24 kcal/mol of atoms
SG   I-4m2, No. 119

extended XYZ file:
```
4
Lattice="-2.1615 2.1615 3.9386 2.1615 -2.1615 3.9386 2.1615 2.1615 -3.9386" Properties=species:S:1:pos:R:3 pbc="T T T"
In 0.0000 0.0000 0.0000
Re 2.1615 0.0000 1.9693
Re 0.0000 0.0000 3.9386
Te 0.0000 2.1615 1.9693
```


A geometry-optimized InRe2Te structure. Source: the Alexandria database, functional PBE.

Crystal system   tetragonal
Relative energy among the computed polymorphs   11.04 kcal/mol of atoms
SG   P4/mmm, No. 123

extended XYZ file:
```
4
Lattice="4.6378 0.0000 0.0000 0.0000 4.6378 0.0000 0.0000 0.0000 3.2797" Properties=species:S:1:pos:R:3 pbc="T T T"
In 0.0000 0.0000 0.0000
Re 0.0000 2.3189 1.6399
Re 2.3189 0.0000 1.6399
Te 2.3189 2.3189 0.0000
```


A geometry-optimized InRe2Te structure. Source: the Alexandria database, functional PBE.

Crystal system   trigonal
Relative energy among the computed polymorphs   3.86 kcal/mol of atoms
SG   R3m, No. 160

extended XYZ file:
```
4
Lattice="1.4821 0.8557 10.6600 -1.4821 0.8557 10.6600 0.0000 -1.7113 10.6600" Properties=species:S:1:pos:R:3 pbc="T T T"
In 0.0000 0.0000 0.0000
Re 0.0000 0.0000 8.1809
Re 0.0000 0.0000 16.8388
Te 0.0000 0.0000 24.9832
```


A geometry-optimized InRe2Te structure. Source: the Alexandria database, functional PBE.

Crystal system   orthorhombic
Relative energy among the computed polymorphs   16.86 kcal/mol of atoms
SG   Cmmm, No. 65

extended XYZ file:
```
4
Lattice="1.5478 -2.5630 0.0000 1.5478 2.5630 0.0000 0.0000 0.0000 9.3740" Properties=species:S:1:pos:R:3 pbc="T T T"
In 0.0000 0.0000 0.0000
Re 1.5478 0.0000 2.3376
Re 1.5478 0.0000 7.0364
Te 0.0000 0.0000 4.6870
```


A geometry-optimized InRe2Te structure. Source: the Alexandria database, functional PBE.

Crystal system   monoclinic
Relative energy among the computed polymorphs   11.33 kcal/mol of atoms
SG   P2/m, No. 10

extended XYZ file:
```
4
Lattice="3.0503 0.0000 0.0000 0.0000 4.3744 0.0000 -0.0089 0.0000 6.0328" Properties=species:S:1:pos:R:3 pbc="T T T"
In 0.0000 0.0000 0.0000
Re 1.5138 2.1872 4.8493
Re 1.5276 2.1872 1.1835
Te 1.5207 0.0000 3.0164
```


A geometry-optimized InRe2Te structure. Source: the Alexandria database, functional PBE.

Crystal system   monoclinic
Relative energy among the computed polymorphs   6.66 kcal/mol of atoms
SG   Cm, No. 8

extended XYZ file:
```
4
Lattice="4.9826 -1.5733 0.0000 4.9826 1.5733 0.0000 -2.3249 0.0000 4.8477" Properties=species:S:1:pos:R:3 pbc="T T T"
In 0.0000 0.0000 0.0000
Re 3.2807 0.0000 2.3524
Re 7.2629 0.0000 0.4653
Te 0.4825 0.0000 3.1243
```


A geometry-optimized InRe2Te structure. Source: the Alexandria database, functional PBE.

Crystal system   monoclinic
Relative energy among the computed polymorphs   5.09 kcal/mol of atoms
SG   Pm, No. 6

extended XYZ file:
```
4
Lattice="3.1577 0.0000 0.0000 0.0000 4.1512 0.0000 -0.0043 0.0000 7.0103" Properties=species:S:1:pos:R:3 pbc="T T T"
In 0.0000 0.0000 0.0000
Re 1.5731 0.0000 4.5802
Re 3.1240 2.0756 4.8836
Te 1.5444 2.0756 2.6354
```